Arrangement w

The following is a DFT calculation (PBE) of CrSbTe2Pb after structural relaxation.

Cell: 5.3818 5.3818 5.1188 Å, 90.00 90.00 90.00°
With the nearest neighbours (Å) after each atom.
Atoms (fractional coordinates):
Pb 0.5000 0.5000 0.5000  8 Te 3.71, 4 Sb 3.81
Sb 0.0000 0.0000 0.5000  2 Cr 2.56
Te 0.0000 0.5000 0.0000  2 Cr 2.69
Te 0.5000 0.0000 0.0000  2 Cr 2.69
Cr 0.0000 0.0000 0.0000  2 Sb 2.56, 4 Te 2.69

Fermi-level density of states: 0.963 states/eV per atom
total magnetic moment: 2.80 Bohr magnetons per cell
symmetry: P4/mmm, No. 123

***

Arrangement x

The following is a DFT calculation (PBE) of CrSbTe2Pb after structural relaxation.

Cell: 5.8494 5.8494 5.8039 Å, 90.00 90.00 90.00°
With the nearest neighbours (Å) after each atom.
Atoms (fractional coordinates):
Pb 0.0000 0.0000 0.0000  2 Sb 2.90, 4 Te 2.92
Sb 0.0000 0.0000 0.5000  2 Pb 2.90
Te 0.0000 0.5000 0.0000  2 Pb 2.92
Te 0.5000 0.0000 0.0000  2 Pb 2.92
Cr 0.5000 0.5000 0.5000  8 Te 4.12, 4 Sb 4.14

Fermi-level density of states: 1.204 states/eV per atom
total magnetic moment: 3.57 Bohr magnetons per cell
symmetry: P4/mmm, No. 123

***

From most stable to least stable, the computed energies give arrangement w, arrangement x.